First-principles (PBE-GGA) data for a relaxed structure of YPtF3, as listed in the Open Quantum Materials Database.

calculated total energy	-61.1	eV per cell
density	8.74	g/cm3
SG	Cmcm (63)
volume	130	Å³ per cell

a = 7.2034 Å, b = 7.2034 Å, c = 4.6950 Å
α = 90.00°, β = 90.00°, γ = 147.87°
Sites, in units of the cell vectors:
Y  0.1653  0.8347  0.7500
Y  0.8347  0.1653  0.2500
Pt  0.4744  0.5256  0.7500
Pt  0.5256  0.4744  0.2500
F  0.1213  0.8787  0.2500
F  0.3036  0.6964  0.0079
F  0.3036  0.6964  0.4921
F  0.6964  0.3036  0.5079
F  0.6964  0.3036  0.9921
F  0.8787  0.1213  0.7500